! LiTe2PdI (PBEsol, optimized geometry); values from VASP
&SYSTEM
  ibrav = 0, nat = 5, ntyp = 4
/
ATOMIC_SPECIES
Te 127.60 Te.upf
Pd 106.42 Pd.upf
I 126.90 I.upf
Li 6.94 Li.upf
CELL_PARAMETERS angstrom
5.239 0.000 0.000
0.000 5.239 0.000
0.000 0.000 5.579
ATOMIC_POSITIONS angstrom
Te 0.000 2.619 0.000
Pd 0.000 0.000 0.000
I 0.000 0.000 2.789
Li 2.619 2.619 2.789
Te 2.619 0.000 0.000
! **Spin magnetization**: 0.0 μB per formula unit
! **DOS at the Fermi energy**: 1.029 states/eV per atom
! **SG**: P4/mmm
! **Energy relative to the elements, uncorrected**: -0.30 eV/f.u.